Here is crystalline Th2ZnNi5 at its relaxed geometry from Alexandria via LeMat-Bulk. Energies are from PBE.

abc: 5.732 5.732 5.732
angles: 92.73 118.43 118.43
Atoms (fractional coordinates):
Th 0.500 0.246 0.746
Th 0.500 0.746 0.246
Zn 0.000 0.957 0.957
Ni 0.421 0.711 0.711
Ni 0.000 0.711 0.290
Ni 0.000 0.290 0.711
Ni 0.579 0.290 0.290
Ni 0.000 0.270 0.270

Results
Calculated total energy (eV/cell): -47.4
Space-group type: I4mm, No. 107
Formation enthalpy at 0 K (meV per atom): -293